## i
An optimized crystal structure of ScSe2Br, computed with GGA-PBEsol.

```
data_ScSe2Br
_chemical_formula_sum 'Sc3 Se6 Br3'
_cell_length_a 3.5460
_cell_length_b 3.5460
_cell_length_c 26.9087
_cell_angle_alpha 90.00
_cell_angle_beta 90.00
_cell_angle_gamma 120.00
_space_group_name_H-M_alt 'R 3 m'
_space_group_IT_number 160
_space_group_name_Hall 'R 3 -2"'
loop_
_atom_site_label
_atom_site_fract_x
_atom_site_fract_y
_atom_site_fract_z
Sc1 0.0000 0.0000 0.0000
Se1 0.0000 0.0000 0.2747
Se2 0.0000 0.0000 0.5146
Br1 0.0000 0.0000 0.7319
```

Values from the calculation:
- Crystal system: trigonal
- Total magnetic moment: 0.36 μB per formula unit

---

## ii
An optimized crystal structure of ScSe2Br, computed with GGA-PBEsol.

```
data_ScSe2Br
_chemical_formula_sum 'Sc2 Se4 Br2'
_cell_length_a 4.471
_cell_length_b 4.554
_cell_length_c 9.625
_cell_angle_alpha 90.00
_cell_angle_beta 90.00
_cell_angle_gamma 90.00
_space_group_name_H-M_alt 'C m m 2'
_space_group_IT_number 35
loop_
_space_group_symop_operation_xyz
'x,y,z'
'-x,-y,z'
'-x,y,z'
'x,-y,z'
'x+1/2,y+1/2,z'
'-x+1/2,-y+1/2,z'
'-x+1/2,y+1/2,z'
'x+1/2,-y+1/2,z'
loop_
_atom_site_label
_atom_site_fract_x
_atom_site_fract_y
_atom_site_fract_z
Sc1 0.000 0.000 0.000
Se1 0.000 0.000 0.475
Se2 0.000 0.500 0.155
Br1 0.000 0.500 0.813
```

Values from the calculation:
- Crystal system: orthorhombic
- Total magnetic moment: 0.00 μB per formula unit

---

## iii
An optimized crystal structure of ScSe2Br, computed with GGA-PBEsol.

```
data_ScSe2Br
_chemical_formula_sum 'Sc1 Se2 Br1'
_cell_length_a 5.184
_cell_length_b 3.857
_cell_length_c 5.247
_cell_angle_alpha 90.00
_cell_angle_beta 107.13
_cell_angle_gamma 90.00
_space_group_name_H-M_alt 'P 1 2/m 1'
_space_group_IT_number 10
loop_
_space_group_symop_operation_xyz
'x,y,z'
'-x,-y,-z'
'-x,y,-z'
'x,-y,z'
loop_
_atom_site_label
_atom_site_fract_x
_atom_site_fract_y
_atom_site_fract_z
Sc1 0.000 0.000 0.000
Se1 0.383 0.500 0.164
Br1 0.000 0.000 0.500
```

Values from the calculation:
- Crystal system: monoclinic
- Total magnetic moment: 0.00 μB per formula unit

---

iii ends up most stable, edging out the next structure by 385 meV/atom.

---

## i
An optimized crystal structure of ScSiBr2, computed with GGA-PBEsol.

```
data_ScSiBr2
_chemical_formula_sum 'Sc1 Si1 Br2'
_cell_length_a 4.245
_cell_length_b 3.332
_cell_length_c 7.366
_cell_angle_alpha 90.00
_cell_angle_beta 93.57
_cell_angle_gamma 90.00
_space_group_name_H-M_alt 'P 1 m 1'
_space_group_IT_number 6
loop_
_space_group_symop_operation_xyz
'x,y,z'
'x,-y,z'
loop_
_atom_site_label
_atom_site_fract_x
_atom_site_fract_y
_atom_site_fract_z
Sc1 0.000 0.000 0.000
Si1 0.507 0.500 0.102
Br1 0.290 0.000 0.347
Br2 0.843 0.500 0.734
```

Values from the calculation:
- Crystal system: monoclinic
- Total magnetic moment: 0.00 μB per formula unit

---

## ii
An optimized crystal structure of ScSiBr2, computed with GGA-PBEsol.

```
data_ScSiBr2
_chemical_formula_sum 'Sc3 Si3 Br6'
_cell_length_a 3.3896
_cell_length_b 3.3896
_cell_length_c 28.7949
_cell_angle_alpha 90.00
_cell_angle_beta 90.00
_cell_angle_gamma 120.00
_space_group_name_H-M_alt 'R -3 m'
_space_group_IT_number 166
_space_group_name_Hall '-R 3 2"'
loop_
_atom_site_label
_atom_site_fract_x
_atom_site_fract_y
_atom_site_fract_z
Sc1 0.0000 0.0000 0.0000
Si1 0.0000 0.0000 0.5000
Br1 0.0000 0.0000 0.2711
```

Values from the calculation:
- Crystal system: trigonal
- Total magnetic moment: 0.00 μB per formula unit

---

i ends up most stable, edging out the next structure by 225 meV/atom.

---

## i
An optimized crystal structure of ScSi2Br, computed with GGA-PBEsol.

```
data_ScSi2Br
_chemical_formula_sum 'Sc1 Si2 Br1'
_cell_length_a 3.221
_cell_length_b 3.221
_cell_length_c 7.618
_cell_angle_alpha 90.00
_cell_angle_beta 90.00
_cell_angle_gamma 90.00
_space_group_name_H-M_alt 'P 4 m m'
_space_group_IT_number 99
loop_
_space_group_symop_operation_xyz
'x,y,z'
'-y,x,z'
'-x,-y,z'
'y,-x,z'
'-x,y,z'
'y,x,z'
'x,-y,z'
'-y,-x,z'
loop_
_atom_site_label
_atom_site_fract_x
_atom_site_fract_y
_atom_site_fract_z
Sc1 0.000 0.000 0.000
Si1 0.000 0.000 0.612
Si2 0.500 0.500 0.763
Br1 0.500 0.500 0.219
```

Values from the calculation:
- Crystal system: tetragonal
- Total magnetic moment: 0.00 μB per formula unit

---

## ii
An optimized crystal structure of ScSi2Br, computed with GGA-PBEsol.

```
data_ScSi2Br
_chemical_formula_sum 'Sc2 Si4 Br2'
_cell_length_a 9.842
_cell_length_b 3.692
_cell_length_c 5.211
_cell_angle_alpha 90.00
_cell_angle_beta 90.12
_cell_angle_gamma 90.00
_space_group_name_H-M_alt 'C 1 2/m 1'
_space_group_IT_number 12
loop_
_space_group_symop_operation_xyz
'x,y,z'
'-x,-y,-z'
'-x,y,-z'
'x,-y,z'
'x+1/2,y+1/2,z'
'-x+1/2,-y+1/2,-z'
'-x+1/2,y+1/2,-z'
'x+1/2,-y+1/2,z'
loop_
_atom_site_label
_atom_site_fract_x
_atom_site_fract_y
_atom_site_fract_z
Sc1 0.000 0.000 0.000
Si1 0.197 0.500 0.071
Br1 0.000 0.500 0.500
```

Values from the calculation:
- Crystal system: monoclinic
- Total magnetic moment: 0.00 μB per formula unit

---

## iii
An optimized crystal structure of ScSi2Br, computed with GGA-PBEsol.

```
data_ScSi2Br
_chemical_formula_sum 'Sc2 Si4 Br2'
_cell_length_a 3.197
_cell_length_b 4.245
_cell_length_c 11.156
_cell_angle_alpha 90.00
_cell_angle_beta 90.00
_cell_angle_gamma 90.00
_space_group_name_H-M_alt 'I m m m'
_space_group_IT_number 71
_space_group_name_Hall '-I 2 2'
loop_
_atom_site_label
_atom_site_fract_x
_atom_site_fract_y
_atom_site_fract_z
Sc1 0.000 0.000 0.000
Si1 0.000 0.500 0.279
Br1 0.000 0.000 0.500
```

Values from the calculation:
- Crystal system: orthorhombic
- Total magnetic moment: 0.00 μB per formula unit

---

## iv
An optimized crystal structure of ScSi2Br, computed with GGA-PBEsol.

```
data_ScSi2Br
_chemical_formula_sum 'Sc1 Si2 Br1'
_cell_length_a 4.942
_cell_length_b 4.942
_cell_length_c 3.087
_cell_angle_alpha 90.00
_cell_angle_beta 90.00
_cell_angle_gamma 90.00
_space_group_name_H-M_alt 'P 4/m m m'
_space_group_IT_number 123
_space_group_name_Hall '-P 4 2'
loop_
_atom_site_label
_atom_site_fract_x
_atom_site_fract_y
_atom_site_fract_z
Sc1 0.000 0.000 0.000
Si1 0.000 0.500 0.500
Br1 0.500 0.500 0.000
```

Values from the calculation:
- Crystal system: tetragonal
- Total magnetic moment: 0.00 μB per formula unit

---

i ends up most stable, edging out the next structure by 136 meV/atom.

---

## i
An optimized crystal structure of SrSc2Br, computed with GGA-PBEsol.

```
data_SrSc2Br
_chemical_formula_sum 'Sr1 Sc2 Br1'
_cell_length_a 5.505
_cell_length_b 5.505
_cell_length_c 3.610
_cell_angle_alpha 90.00
_cell_angle_beta 90.00
_cell_angle_gamma 90.00
_space_group_name_H-M_alt 'P 4/m m m'
_space_group_IT_number 123
_space_group_name_Hall '-P 4 2'
loop_
_atom_site_label
_atom_site_fract_x
_atom_site_fract_y
_atom_site_fract_z
Sr1 0.000 0.000 0.000
Sc1 0.000 0.500 0.500
Br1 0.500 0.500 0.000
```

Values from the calculation:
- Crystal system: tetragonal
- Total magnetic moment: 0.00 μB per formula unit

---

## ii
An optimized crystal structure of SrSc2Br, computed with GGA-PBEsol.

```
data_SrSc2Br
_chemical_formula_sum 'Sr4 Sc8 Br4'
_cell_length_a 7.566
_cell_length_b 7.566
_cell_length_c 7.566
_cell_angle_alpha 90.00
_cell_angle_beta 90.00
_cell_angle_gamma 90.00
_space_group_name_H-M_alt 'F m -3 m'
_space_group_IT_number 225
_space_group_name_Hall '-F 4 2 3'
loop_
_atom_site_label
_atom_site_fract_x
_atom_site_fract_y
_atom_site_fract_z
Sr1 0.000 0.000 0.000
Sc1 0.250 0.250 0.250
Br1 0.000 0.000 0.500
```

Values from the calculation:
- Crystal system: cubic
- Total magnetic moment: 0.00 μB per formula unit

---

i ends up most stable, edging out the next structure by 167 meV/atom.

---

## i
An optimized crystal structure of ScTaBr2, computed with GGA-PBEsol.

```
data_ScTaBr2
_chemical_formula_sum 'Sc2 Ta2 Br4'
_cell_length_a 3.293
_cell_length_b 3.631
_cell_length_c 15.444
_cell_angle_alpha 90.00
_cell_angle_beta 90.00
_cell_angle_gamma 90.00
_space_group_name_H-M_alt 'A m m 2'
_space_group_IT_number 38
loop_
_space_group_symop_operation_xyz
'x,y,z'
'-x,-y,z'
'-x,y,z'
'x,-y,z'
'x,y+1/2,z+1/2'
'-x,-y+1/2,z+1/2'
'-x,y+1/2,z+1/2'
'x,-y+1/2,z+1/2'
loop_
_atom_site_label
_atom_site_fract_x
_atom_site_fract_y
_atom_site_fract_z
Sc1 0.000 0.000 0.000
Ta1 0.500 0.000 0.605
Br1 0.000 0.000 0.736
Br2 0.500 0.000 0.421
```

Values from the calculation:
- Crystal system: orthorhombic
- Total magnetic moment: 0.00 μB per formula unit

---

## ii
An optimized crystal structure of ScTaBr2, computed with GGA-PBEsol.

```
data_ScTaBr2
_chemical_formula_sum 'Sc2 Ta2 Br4'
_cell_length_a 3.095
_cell_length_b 5.865
_cell_length_c 9.029
_cell_angle_alpha 90.00
_cell_angle_beta 90.00
_cell_angle_gamma 90.00
_space_group_name_H-M_alt 'C m m m'
_space_group_IT_number 65
_space_group_name_Hall '-C 2 2'
loop_
_atom_site_label
_atom_site_fract_x
_atom_site_fract_y
_atom_site_fract_z
Sc1 0.000 0.000 0.000
Ta1 0.000 0.000 0.500
Br1 0.000 0.500 0.258
```

Values from the calculation:
- Crystal system: orthorhombic
- Total magnetic moment: 0.00 μB per formula unit

---

## iii
An optimized crystal structure of ScTaBr2, computed with GGA-PBEsol.

```
data_ScTaBr2
_chemical_formula_sum 'Sc3 Ta3 Br6'
_cell_length_a 3.1781
_cell_length_b 3.1781
_cell_length_c 26.4062
_cell_angle_alpha 90.00
_cell_angle_beta 90.00
_cell_angle_gamma 120.00
_space_group_name_H-M_alt 'R -3 m'
_space_group_IT_number 166
_space_group_name_Hall '-R 3 2"'
loop_
_atom_site_label
_atom_site_fract_x
_atom_site_fract_y
_atom_site_fract_z
Sc1 0.0000 0.0000 0.0000
Ta1 0.0000 0.0000 0.5000
Br1 0.0000 0.0000 0.2465
```

Values from the calculation:
- Crystal system: trigonal
- Total magnetic moment: 0.00 μB per formula unit

---

i ends up most stable, edging out the next structure by 353 meV/atom.

---

## i
An optimized crystal structure of ScTa2Br, computed with GGA-PBEsol.

```
data_ScTa2Br
_chemical_formula_sum 'Sc2 Ta4 Br2'
_cell_length_a 5.304
_cell_length_b 9.494
_cell_length_c 3.020
_cell_angle_alpha 90.00
_cell_angle_beta 90.00
_cell_angle_gamma 90.00
_space_group_name_H-M_alt 'C m m m'
_space_group_IT_number 65
_space_group_name_Hall '-C 2 2'
loop_
_atom_site_label
_atom_site_fract_x
_atom_site_fract_y
_atom_site_fract_z
Sc1 0.000 0.000 0.000
Ta1 0.250 0.250 0.500
Br1 0.000 0.500 0.000
```

Values from the calculation:
- Crystal system: orthorhombic
- Total magnetic moment: 0.00 μB per formula unit

---

## ii
An optimized crystal structure of ScTa2Br, computed with GGA-PBEsol.

```
data_ScTa2Br
_chemical_formula_sum 'Sc2 Ta4 Br2'
_cell_length_a 10.441
_cell_length_b 3.154
_cell_length_c 4.638
_cell_angle_alpha 90.00
_cell_angle_beta 101.42
_cell_angle_gamma 90.00
_space_group_name_H-M_alt 'C 1 2/m 1'
_space_group_IT_number 12
loop_
_space_group_symop_operation_xyz
'x,y,z'
'-x,-y,-z'
'-x,y,-z'
'x,-y,z'
'x+1/2,y+1/2,z'
'-x+1/2,-y+1/2,-z'
'-x+1/2,y+1/2,-z'
'x+1/2,-y+1/2,z'
loop_
_atom_site_label
_atom_site_fract_x
_atom_site_fract_y
_atom_site_fract_z
Sc1 0.000 0.000 0.000
Ta1 0.243 0.000 0.751
Br1 0.000 0.500 0.500
```

Values from the calculation:
- Crystal system: monoclinic
- Total magnetic moment: 0.00 μB per formula unit

---

## iii
An optimized crystal structure of ScTa2Br, computed with GGA-PBEsol.

```
data_ScTa2Br
_chemical_formula_sum 'Sc1 Ta2 Br1'
_cell_length_a 3.838
_cell_length_b 3.838
_cell_length_c 5.130
_cell_angle_alpha 90.00
_cell_angle_beta 90.00
_cell_angle_gamma 90.00
_space_group_name_H-M_alt 'P 4/m m m'
_space_group_IT_number 123
_space_group_name_Hall '-P 4 2'
loop_
_atom_site_label
_atom_site_fract_x
_atom_site_fract_y
_atom_site_fract_z
Sc1 0.000 0.000 0.000
Ta1 0.000 0.500 0.500
Br1 0.500 0.500 0.000
```

Values from the calculation:
- Crystal system: tetragonal
- Total magnetic moment: 0.00 μB per formula unit

---

ii ends up most stable, edging out the next structure by 152 meV/atom.